Entry a
NaZn3Ag2 | PBE | relaxed

The calculation puts the calculated volume at 113 Å³/cell. The total magnetic moment comes out at 0.000 μB/atom.

The structure belongs to space group P6mm (No. 183); the cell edges are 5.3829, 5.3829 and 4.4976 Å and the angles 90.00°, 90.00° and 120.00°. Symmetry generates all atoms from Na at (0.0000, 0.0000, 0.0000), Zn at (0.0000, 0.5000, 0.4980) and Ag at (0.3333, 0.6667, 0.9980).



Entry b
NaZn3Ag2 | PBE | relaxed

The calculation puts the calculated volume at 476 Å³/cell. The total magnetic moment comes out at 0.000 μB/atom.

The structure belongs to space group Cmcm (No. 63); the cell edges are 9.918, 8.532 and 5.619 Å and the angles 90.00°, 90.00° and 90.00°. Symmetry generates all atoms from Na at (0.000, 0.150, 0.250), Zn at (0.000, 0.473, 0.750), Zn at (0.153, 0.228, 0.750) and Ag at (0.231, 0.500, 0.000).



Least stable structure: entry b



Entry a
NaZrAg2 | PBE | relaxed

The calculation puts the calculated volume at 327 Å³/cell. The total magnetic moment comes out at 0.000 μB/atom.

The structure belongs to space group Fm-3m (No. 225); the cell edges are 6.888, 6.888 and 6.888 Å and the angles 90.00°, 90.00° and 90.00°. Symmetry generates all atoms from Na at (0.000, 0.000, 0.000), Zr at (0.000, 0.000, 0.500) and Ag at (0.250, 0.250, 0.250).



Entry b
NaZrAg2 | PBE | relaxed

The calculation puts the calculated volume at 83 Å³/cell. The total magnetic moment comes out at 0.000 μB/atom.

The structure belongs to space group P4/mmm (No. 123); the cell edges are 5.316, 5.316 and 2.945 Å and the angles 90.00°, 90.00° and 90.00°. Symmetry generates all atoms from Na at (0.000, 0.000, 0.000), Zr at (0.500, 0.500, 0.000) and Ag at (0.000, 0.500, 0.500).



Entry c
NaZrAg2 | PBE | relaxed

The calculation puts the calculated volume at 85 Å³/cell. The total magnetic moment comes out at 0.081 μB/atom.

The structure belongs to space group P4/mmm (No. 123); the cell edges are 3.226, 3.226 and 8.174 Å and the angles 90.00°, 90.00° and 90.00°. Symmetry generates all atoms from Na at (0.000, 0.000, 0.000), Zr at (0.000, 0.000, 0.500) and Ag at (0.500, 0.500, 0.264).



Least stable structure: entry a



Entry a
NaZr2Ag | PBE | relaxed

The calculation puts the calculated volume at 371 Å³/cell. The total magnetic moment comes out at 0.000 μB/atom.

The structure belongs to space group I-42d (No. 122); the cell edges are 8.116, 8.116 and 5.634 Å and the angles 90.00°, 90.00° and 90.00°. Symmetry generates all atoms from Na at (0.000, 0.000, 0.000), Zr at (0.228, 0.250, 0.625) and Ag at (0.000, 0.000, 0.500).



Entry b
NaZr2Ag | PBE | relaxed

The calculation puts the calculated volume at 344 Å³/cell. The total magnetic moment comes out at 0.000 μB/atom.

The structure belongs to space group Fm-3m (No. 225); the cell edges are 7.005, 7.005 and 7.005 Å and the angles 90.00°, 90.00° and 90.00°. Symmetry generates all atoms from Na at (0.000, 0.000, 0.000), Zr at (0.250, 0.250, 0.250) and Ag at (0.000, 0.000, 0.500).



Least stable structure: entry a



Entry a
Nb2NiAg | PBE | relaxed

The calculation puts the calculated volume at 280 Å³/cell. The total magnetic moment comes out at 0.000 μB/atom.

The structure belongs to space group I-42d (No. 122); the cell edges are 3.789, 3.789 and 19.521 Å and the angles 90.00°, 90.00° and 90.00°. Symmetry generates all atoms from Nb at (0.241, 0.250, 0.125), Ni at (0.000, 0.000, 0.000) and Ag at (0.000, 0.000, 0.500).



Entry b
Nb2NiAg | PBE | relaxed

The calculation puts the calculated volume at 265 Å³/cell. The total magnetic moment comes out at 0.209 μB/atom.

The structure belongs to space group Fm-3m (No. 225); the cell edges are 6.425, 6.425 and 6.425 Å and the angles 90.00°, 90.00° and 90.00°. Symmetry generates all atoms from Nb at (0.250, 0.250, 0.250), Ni at (0.000, 0.000, 0.000) and Ag at (0.000, 0.000, 0.500).



Least stable structure: entry a



Entry a
NbNi2Ag | PBE | relaxed

The calculation puts the calculated volume at 58 Å³/cell. The total magnetic moment comes out at 0.000 μB/atom.

The structure belongs to space group P4/mmm (No. 123); the cell edges are 2.936, 2.936 and 6.752 Å and the angles 90.00°, 90.00° and 90.00°. Symmetry generates all atoms from Nb at (0.000, 0.000, 0.000), Ni at (0.500, 0.500, 0.241) and Ag at (0.000, 0.000, 0.500).



Entry b
NbNi2Ag | PBE | relaxed

The calculation puts the calculated volume at 252 Å³/cell. The total magnetic moment comes out at 0.000 μB/atom.

The structure belongs to space group I-42d (No. 122); the cell edges are 6.793, 6.793 and 5.452 Å and the angles 90.00°, 90.00° and 90.00°. Symmetry generates all atoms from Nb at (0.000, 0.000, 0.000), Ni at (0.234, 0.250, 0.125) and Ag at (0.000, 0.000, 0.500).



Entry c
NbNi2Ag | PBE | relaxed

The calculation puts the calculated volume at 228 Å³/cell. The total magnetic moment comes out at 0.000 μB/atom.

The structure belongs to space group Fm-3m (No. 225); the cell edges are 6.106, 6.106 and 6.106 Å and the angles 90.00°, 90.00° and 90.00°. Symmetry generates all atoms from Nb at (0.000, 0.000, 0.000), Ni at (0.250, 0.250, 0.250) and Ag at (0.000, 0.000, 0.500).



Least stable structure: entry b



Entry a
Nb2NiAg2 | PBE | relaxed

The calculation puts the calculated volume at 190 Å³/cell. The total magnetic moment comes out at 0.002 μB/atom.

The structure belongs to space group I4/mmm (No. 139); the cell edges are 3.680, 3.680 and 14.035 Å and the angles 90.00°, 90.00° and 90.00°. Symmetry generates all atoms from Nb at (0.000, 0.500, 0.250), Ni at (0.000, 0.000, 0.000) and Ag at (0.000, 0.000, 0.408).



Entry b
Nb2NiAg2 | PBE | relaxed

The calculation puts the calculated volume at 179 Å³/cell. The total magnetic moment comes out at 0.041 μB/atom.

The structure belongs to space group P4/mbm (No. 127); the cell edges are 7.873, 7.873 and 2.883 Å and the angles 90.00°, 90.00° and 90.00°. Symmetry generates all atoms from Nb at (0.177, 0.323, 0.000), Ni at (0.000, 0.000, 0.500) and Ag at (0.122, 0.622, 0.500).



Least stable structure: entry a



Entry a
Nb3AgO | PBE | relaxed

The calculation puts the calculated volume at 79 Å³/cell. The total magnetic moment comes out at 0.000 μB/atom.

The structure belongs to space group Pm-3m (No. 221); the cell edges are 4.283, 4.283 and 4.283 Å and the angles 90.00°, 90.00° and 90.00°. Symmetry generates all atoms from Nb at (0.000, 0.000, 0.500), Ag at (0.500, 0.500, 0.500) and O at (0.000, 0.000, 0.000).



Entry b
Nb3AgO | PBE | relaxed

The calculation puts the calculated volume at 119 Å³/cell. The total magnetic moment comes out at 0.000 μB/atom.

The structure belongs to space group Pm-3m (No. 221); the cell edges are 4.919, 4.919 and 4.919 Å and the angles 90.00°, 90.00° and 90.00°. Symmetry generates all atoms from Nb at (0.000, 0.000, 0.500), Ag at (0.000, 0.000, 0.000) and O at (0.500, 0.500, 0.500).



Least stable structure: entry b



Entry a
Nb3AgO8 | PBE | relaxed

The calculation puts the calculated volume at 565 Å³/cell. The total magnetic moment comes out at 0.000 μB/atom.

The structure belongs to space group Ibam (No. 72); the cell edges are 7.559, 10.470 and 7.142 Å and the angles 90.00°, 90.00° and 90.00°. Symmetry generates all atoms from Nb at (0.000, 0.000, 0.250), Nb at (0.242, 0.267, 0.000), Ag at (0.000, 0.500, 0.250), O at (0.013, 0.334, 0.000), O at (0.108, 0.075, 0.500) and O at (0.192, 0.142, 0.200).



Entry b
Nb3AgO8 | PBE | relaxed

The calculation puts the calculated volume at 366 Å³/cell. The total magnetic moment comes out at 0.000 μB/atom.

The structure belongs to space group Cm (No. 8); the cell edges are 13.270, 3.874 and 7.437 Å and the angles 90.00°, 106.70° and 90.00°. Symmetry generates all atoms from Nb at (0.000, 0.000, 0.000), Nb at (0.068, 0.000, 0.550), Nb at (0.275, 0.500, 0.543), Ag at (0.253, 0.500, 0.020), O at (0.003, 0.500, 0.037), O at (0.040, 0.000, 0.291), O at (0.096, 0.000, 0.855), O at (0.115, 0.500, 0.582), O at (0.232, 0.500, 0.292), O at (0.242, 0.000, 0.581), O at (0.358, 0.500, 0.845) and O at (0.424, 0.500, 0.544).



Least stable structure: entry b